No. 1
DFT (PBE) results for a relaxed structure of SrBeS2Cl.

Summary:
The density is 1.73 g/cm³. For the formation energy from raw total energies, the calculation gives 322 meV per atom. For the energy above the most stable polymorph in this dataset, the calculation gives 1.444 eV/atom. Its symmetry is P4/mmm (123).

Unit cell a=5.8201 b=5.8201 c=5.5748 alpha=90.00 beta=90.00 gamma=90.00
Closest atoms and distances in Å follow each position.
Sites, in units of the cell vectors:
Sr (0.0000, 0.0000, 0.0000)  2 Cl 2.79, 4 S 2.91
Be (0.5000, 0.5000, 0.5000)  8 S 4.03, 4 Cl 4.12
S (0.0000, 0.5000, 0.0000)  2 Sr 2.91
S (0.5000, 0.0000, 0.0000)  2 Sr 2.91
Cl (0.0000, 0.0000, 0.5000)  2 Sr 2.79


No. 2
DFT (PBE) results for a relaxed structure of TaBeS2Cl.

Summary:
The density is 4.30 g/cm³. For the formation energy from raw total energies, the calculation gives 87 meV per atom. For the energy above the most stable polymorph in this dataset, the calculation gives 0.000 eV/atom. Its symmetry is P4/mmm (123).

Unit cell a=4.7875 b=4.7875 c=4.8754 alpha=90.00 beta=90.00 gamma=90.00
Closest atoms and distances in Å follow each position.
Sites, in units of the cell vectors:
Ta (0.0000, 0.0000, 0.0000)  4 S 2.39, 2 Cl 2.44
Be (0.5000, 0.5000, 0.5000)  4 Cl 3.39, 8 S 3.42
S (0.0000, 0.5000, 0.0000)  2 Ta 2.39
S (0.5000, 0.0000, 0.0000)  2 Ta 2.39
Cl (0.0000, 0.0000, 0.5000)  2 Ta 2.44


No. 3
DFT (PBE) results for a relaxed structure of TaBeS2Cl.

Summary:
The density is 5.99 g/cm³. For the formation energy from raw total energies, the calculation gives 246 meV per atom. For the energy above the most stable polymorph in this dataset, the calculation gives 0.159 eV/atom. Its symmetry is P4/mmm (123).

Unit cell a=4.4504 b=4.4504 c=4.0555 alpha=90.00 beta=90.00 gamma=90.00
Closest atoms and distances in Å follow each position.
Sites, in units of the cell vectors:
Ta (0.0000, 0.0000, 0.0000)  8 S 3.01, 4 Cl 3.15
Be (0.5000, 0.5000, 0.5000)  2 Cl 2.03, 4 S 2.23
S (0.0000, 0.5000, 0.5000)  2 Be 2.23
S (0.5000, 0.0000, 0.5000)  2 Be 2.23
Cl (0.5000, 0.5000, 0.0000)  2 Be 2.03